The following is a DFT calculation (GGA-PBE) of an optimized crystal structure of Fe2IrOs.

Total magnetization in Bohr magnetons per cell: 7.56
Theoretical density in Mg/m³: 15.875
DFT formation energy in kJ/mol of formula units: 11
D(E_F) in states/eV per atom: 0.919
Calculated volume in Å³ per cell: 103

a = 3.6897 Å, b = 3.6897 Å, c = 7.5931 Å
α = 90.00°, β = 90.00°, γ = 90.00°
Space group I-4m2 (No. 119)
One atom of each set of equivalent atoms:
Fe  0.0000  0.0000  0.0000
Fe  0.0000  0.5000  0.2500
Ir  0.0000  0.5000  0.7500
Os  0.0000  0.0000  0.5000